(1)
Material: K2GaSiAu6
Method: DFT, PBE
State: relaxed

```
K2GaSiAu6
1.0
-3.528 3.537 5.004
3.528 -3.537 5.004
3.528 3.537 -5.004
K Ga Si Au
2 1 1 6
direct
0.250 0.250 0.000
0.750 0.750 0.000
0.500 0.000 0.500
0.000 0.500 0.500
0.245 0.255 0.500
0.245 0.745 0.500
0.245 0.745 0.990
0.755 0.255 0.010
0.755 0.255 0.500
0.755 0.745 0.500
```

Values from the calculation:
theoretical density: 9.03 g cm⁻³
total magnetic moment: 0.0 μB/cell
crystal system: orthorhombic
E_form (uncorrected): -0.194 eV/atom

***

(2)
Material: K2GaSn4Au3
Method: DFT, PBE
State: relaxed

```
K2GaSn4Au3
1.0
4.808 0.000 0.000
0.000 4.808 0.000
0.000 0.000 11.630
K Ga Sn Au
2 1 4 3
direct
0.000 0.500 0.244
0.500 0.000 0.756
0.500 0.500 0.000
0.000 0.000 0.500
0.000 0.500 0.870
0.500 0.000 0.130
0.500 0.500 0.500
0.000 0.000 0.000
0.000 0.500 0.633
0.500 0.000 0.367
```

Values from the calculation:
theoretical density: 7.50 g cm⁻³
total magnetic moment: 0.0 μB/cell
formation energy from the elements: -0.278 eV/atom
crystal system: tetragonal

***

(3)
Material: KGaSn2Au
Method: DFT, PBE
State: relaxed

```
KGaSn2Au
1.0
-2.423 2.423 5.862
2.423 -2.423 5.862
2.423 2.423 -5.862
K Ga Sn Au
1 1 2 1
direct
0.000 0.000 0.000
0.250 0.750 0.500
0.374 0.374 0.000
0.626 0.626 0.000
0.750 0.250 0.500
```

Values from the calculation:
theoretical density: 6.55 g cm⁻³
total magnetic moment: 0.0 μB/cell
formation energy from the elements: -0.215 eV/atom
crystal system: tetragonal

***

(4)
Material: K2GaSn3Au4
Method: DFT, PBE
State: relaxed

```
K2GaSn3Au4
1.0
4.918 0.000 0.000
0.000 4.918 0.000
0.000 0.000 10.847
K Ga Sn Au
2 1 3 4
direct
0.000 0.500 0.248
0.500 0.000 0.752
0.000 0.000 0.500
0.000 0.500 0.877
0.500 0.000 0.123
0.500 0.500 0.500
0.000 0.000 0.000
0.000 0.500 0.618
0.500 0.000 0.382
0.500 0.500 0.000
```

Values from the calculation:
theoretical density: 8.18 g cm⁻³
total magnetic moment: 0.0 μB/cell
formation energy from the elements: -0.301 eV/atom
crystal system: tetragonal

***

(5)
Material: K2Ga4SnAu3
Method: DFT, PBE
State: relaxed

```
K2Ga4SnAu3
1.0
4.700 0.000 0.000
0.000 4.700 0.000
0.000 0.000 10.833
K Ga Sn Au
2 4 1 3
direct
0.000 0.500 0.245
0.500 0.000 0.755
0.000 0.000 0.000
0.000 0.500 0.642
0.500 0.000 0.358
0.500 0.500 0.000
0.000 0.000 0.500
0.000 0.500 0.883
0.500 0.000 0.117
0.500 0.500 0.500
```

Values from the calculation:
theoretical density: 7.40 g cm⁻³
total magnetic moment: 0.0 μB/cell
formation energy from the elements: -0.274 eV/atom
crystal system: tetragonal

***

(6)
Material: KGa2SnAu4
Method: DFT, PBE
State: relaxed

```
KGa2SnAu4
1.0
2.220 1.282 11.086
-2.220 1.282 11.086
0.000 -2.564 11.086
K Ga Sn Au
1 2 1 4
direct
0.000 0.000 0.000
0.253 0.253 0.253
0.747 0.747 0.747
0.500 0.500 0.500
0.122 0.122 0.122
0.408 0.408 0.408
0.592 0.592 0.592
0.878 0.878 0.878
```

Values from the calculation:
theoretical density: 9.52 g cm⁻³
total magnetic moment: 0.0 μB/cell
formation energy from the elements: -0.182 eV/atom
crystal system: trigonal

***

(7)
Material: K2Ga3Sn4Au
Method: DFT, PBE
State: relaxed

```
K2Ga3Sn4Au
1.0
4.877 0.000 0.000
0.000 4.877 0.000
0.000 0.000 11.577
K Ga Sn Au
2 3 4 1
direct
0.000 0.500 0.240
0.500 0.000 0.760
0.000 0.000 0.000
0.000 0.500 0.637
0.500 0.000 0.363
0.000 0.000 0.500
0.000 0.500 0.875
0.500 0.000 0.125
0.500 0.500 0.500
0.500 0.500 0.000
```

Values from the calculation:
theoretical density: 5.78 g cm⁻³
total magnetic moment: 0.0 μB/cell
formation energy from the elements: -0.189 eV/atom
crystal system: tetragonal

***

(8)
Material: KGaSnAu4
Method: DFT, PBE
State: relaxed

```
KGaSnAu4
1.0
6.568 -2.932 0.000
6.568 2.932 0.000
-4.518 0.000 9.378
K Ga Sn Au
2 2 2 8
direct
0.006 0.006 0.275
0.994 0.994 0.725
0.357 0.357 0.607
0.643 0.643 0.393
0.284 0.284 0.139
0.716 0.716 0.861
0.058 0.564 0.388
0.292 0.292 0.876
0.436 0.942 0.612
0.494 0.494 0.135
0.506 0.506 0.865
0.564 0.058 0.388
0.708 0.708 0.124
0.942 0.436 0.612
```

Values from the calculation:
theoretical density: 9.34 g cm⁻³
total magnetic moment: 0.0 μB/cell
formation energy from the elements: -0.196 eV/atom
crystal system: monoclinic